The following is a PBE calculation of crystalline La2Tm3Pt2 at its relaxed geometry, from Alexandria.

Summary:
**Energy of formation from the pure elements**: -0.806 eV per atom
**Magnetic moment**: 0.00 μB/f.u.

a b c (Å): 12.587 3.761 9.160
angles (deg): 90.00 117.80 90.00
Fractional coordinates of all 14 atoms:
La (0.162, 0.000, 0.315)
La (0.338, 0.500, 0.685)
La (0.662, 0.500, 0.315)
La (0.838, 0.000, 0.685)
Tm (0.000, 0.500, 0.500)
Tm (0.118, 0.500, 0.937)
Tm (0.382, 0.000, 0.063)
Tm (0.500, 0.000, 0.500)
Tm (0.618, 0.000, 0.937)
Tm (0.882, 0.500, 0.063)
Pt (0.165, 0.000, 0.744)
Pt (0.335, 0.500, 0.256)
Pt (0.665, 0.500, 0.744)
Pt (0.835, 0.000, 0.256)



The following is a PBE calculation of crystalline TbHoCl6 at its relaxed geometry, from Alexandria.

Summary:
**ΔE_f (raw)**: -2.2523 eV per atom
**Magnetic moment**: 0.00 μB/f.u.

a b c (Å): 7.242 7.242 7.242
angles (deg): 55.50 55.50 55.50
Fractional coordinates of all 8 atoms:
Tb (0.000, 0.000, 0.000)
Ho (0.500, 0.500, 0.500)
Cl (0.107, 0.396, 0.748)
Cl (0.252, 0.893, 0.604)
Cl (0.396, 0.748, 0.107)
Cl (0.604, 0.252, 0.893)
Cl (0.748, 0.107, 0.396)
Cl (0.893, 0.604, 0.252)



The following is a PBE calculation of crystalline LaTeIr2 at its relaxed geometry, from Alexandria.

Summary:
**ΔE_f (raw)**: -0.1255 eV per atom
**Magnetic moment**: 0.00 μB/f.u.

a b c (Å): 4.139 4.139 9.733
angles (deg): 90.00 90.00 90.00
Fractional coordinates of all 8 atoms:
La (0.000, 0.000, 0.000)
La (0.500, 0.500, 0.500)
Te (0.000, 0.500, 0.750)
Te (0.500, 0.000, 0.250)
Ir (0.000, 0.000, 0.500)
Ir (0.000, 0.500, 0.250)
Ir (0.500, 0.000, 0.750)
Ir (0.500, 0.500, 0.000)



The following is a PBE calculation of crystalline PmGdSnPd at its relaxed geometry, from Alexandria.

Summary:
**Energy of formation from the pure elements**: -0.714 eV per atom
**Magnetic moment**: 7.30 μB/f.u.

a b c (Å): 7.426 7.426 7.426
angles (deg): 90.00 90.00 90.00
Fractional coordinates of all 16 atoms:
Pm (0.000, 0.000, 0.000)
Pm (0.000, 0.500, 0.500)
Pm (0.500, 0.000, 0.500)
Pm (0.500, 0.500, 0.000)
Gd (0.000, 0.000, 0.500)
Gd (0.000, 0.500, 0.000)
Gd (0.500, 0.000, 0.000)
Gd (0.500, 0.500, 0.500)
Sn (0.250, 0.250, 0.750)
Sn (0.250, 0.750, 0.250)
Sn (0.750, 0.250, 0.250)
Sn (0.750, 0.750, 0.750)
Pd (0.250, 0.250, 0.250)
Pd (0.250, 0.750, 0.750)
Pd (0.750, 0.250, 0.750)
Pd (0.750, 0.750, 0.250)



The following is a PBE calculation of crystalline Rb2PH at its relaxed geometry, from Alexandria.

Summary:
**Magnetic moment**: 0.00 μB/f.u.
**Relative energy among the computed polymorphs**: 0.0 kJ per mole of atoms

a b c (Å): 7.728 7.790 4.616
angles (deg): 90.00 90.05 90.00
Fractional coordinates of all 8 atoms:
Rb (0.000, 0.248, 0.000)
Rb (0.000, 0.752, 0.000)
Rb (0.500, 0.252, 0.000)
Rb (0.500, 0.748, 0.000)
P (0.251, 0.000, 0.502)
P (0.751, 0.500, 0.502)
H (0.439, 0.000, 0.492)
H (0.939, 0.500, 0.492)



The following is a PBE calculation of crystalline AgTeS at its relaxed geometry, from Alexandria.

Summary:
**ΔE_f (raw)**: 0.0934 eV per atom
**Magnetic moment**: 0.00 μB/f.u.
**Relative energy among the computed polymorphs**: 3.2 kJ per mole of atoms

a b c (Å): 4.268 12.583 6.503
angles (deg): 90.00 90.00 90.00
Fractional coordinates of all 12 atoms:
Ag (0.000, 0.188, 0.000)
Ag (0.000, 0.812, 0.000)
Ag (0.500, 0.312, 0.500)
Ag (0.500, 0.688, 0.500)
Te (0.000, 0.000, 0.764)
Te (0.000, 0.500, 0.926)
Te (0.500, 0.000, 0.426)
Te (0.500, 0.500, 0.264)
S (0.000, 0.331, 0.721)
S (0.000, 0.669, 0.721)
S (0.500, 0.169, 0.221)
S (0.500, 0.831, 0.221)



Q: Look up the magnetic moment of the first one.
A: 0.00 μB/f.u.